[1]
The following is a DFT calculation (PBE) of Ba3Tl7Cd2 after structural relaxation.

Cell lengths 5.190, 5.078, 15.822 Å; angles 90.00, 99.37, 90.00 degrees
Space group P2/m (No. 10)
One atom of each set of equivalent atoms:
Ba1 0.000 0.000 0.000
Ba2 0.322 0.500 0.645
Tl1 0.076 0.500 0.160
Tl2 0.226 0.000 0.452
Tl3 0.421 0.000 0.842
Tl4 0.500 0.500 0.000
Cd1 0.135 0.000 0.266

## Properties
As for the density: 8.34 g/cm³. The total energy comes out at -27.3 eV per cell. The value obtained for the density of states at the Fermi level is 8.6 states/eV/cell. The formation enthalpy at 0 K comes out at -260 meV per atom.


[2]
The following is a DFT calculation (PBE) of La3PrSc after structural relaxation.

Cell lengths 5.861, 6.135, 9.978 Å; angles 90.00, 107.05, 90.00 degrees
Space group P2_1 (No. 4)
One atom of each set of equivalent atoms:
La1 0.045 0.000 0.091
La2 0.246 0.066 0.492
La3 0.442 0.136 0.883
Pr1 0.359 0.635 0.718
Sc1 0.146 0.520 0.293

## Properties
As for the density: 5.83 g/cm³. As for the energy above the lowest structure with this stoichiometry: 0 meV per atom. The total energy comes out at -50.9 eV per cell. The value obtained for the density of states at the Fermi level is 15.2 states/eV/cell. The formation enthalpy at 0 K comes out at 85 meV per atom.


> What is the formula in the first record?

Ba3Tl7Cd2


> The highest formation enthalpy at 0 K belongs to which entry?

La3PrSc